Below is an optimized crystal structure of Pm2Pd3Au, with properties calculated at the PBE level.

Properties
Energy relative to the lowest polymorph listed for this composition in meV/atom: 0

The structure in POSCAR format:
```
Pm2Pd3Au
1.0
-0.773 -2.986 -5.080
1.675 -5.561 1.260
-7.726 2.561 4.024
Pd Pm Au
6 4 2
Direct
0.835 0.835 0.170
0.335 0.335 0.170
0.839 0.839 0.678
0.165 0.165 0.830
0.665 0.665 0.830
0.161 0.161 0.322
0.750 0.250 0.500
0.250 0.750 0.500
0.751 0.249 0.000
0.249 0.751 0.000
0.667 0.667 0.335
0.333 0.333 0.665
```

=====

Below is an optimized crystal structure of Pm2Pd3Au4, with properties calculated at the PBE level.

The structure in POSCAR format:
```
Pm2Pd3Au4
1.0
4.232 0.000 0.906
1.930 4.856 1.323
0.360 -0.034 8.654
Pd Au Pm
3 4 2
Direct
0.000 0.000 0.000
0.656 0.241 0.446
0.344 0.759 0.554
0.337 0.439 0.886
0.663 0.561 0.114
0.987 0.684 0.342
0.013 0.316 0.658
0.676 0.882 0.767
0.324 0.118 0.233
```

=====

Below is an optimized crystal structure of Pm12PdAu6, with properties calculated at the PBE level.

The structure in POSCAR format:
```
Pm12PdAu6
1.0
8.602 -0.039 -0.047
-1.343 8.496 -0.047
-1.343 -1.565 8.351
Pm Au Pd
12 6 1
Direct
0.931 0.047 0.679
0.321 0.069 0.953
0.423 0.819 0.574
0.047 0.679 0.931
0.679 0.931 0.047
0.577 0.181 0.426
0.953 0.321 0.069
0.181 0.426 0.577
0.574 0.423 0.819
0.426 0.577 0.181
0.069 0.953 0.321
0.819 0.574 0.423
0.379 0.696 0.867
0.304 0.133 0.621
0.696 0.867 0.379
0.133 0.621 0.304
0.867 0.379 0.696
0.621 0.304 0.133
0.000 0.000 0.000
```

=====

Ordered size of the total moment results: 0.00, 0.00, 0.00; unit μB per cell.
Ordered DFT formation energy results: -0.72, -0.64, -0.44; unit eV/atom.